Below is a relaxed KCoPt2 crystal, with properties calculated at the PBEsol level.

Properties
The raw total energy comes out at -4.89 eV per atom. Its formation energy is 811 meV per atom. The volume comes out at 131.7 Å³ per cell.

abc: 4.185 4.185 7.519
angles: 90.00 90.00 90.00
Space group I-4m2 (No. 119)
Unique sites:
1 K 0.000 0.000 0.000 (multiplicity 2)
2 Co 0.000 0.500 0.750 (multiplicity 2)
3 Pt 0.000 0.000 0.500 (multiplicity 2)
4 Pt 0.000 0.500 0.250 (multiplicity 2)

***

Below is a relaxed Tl3HgN crystal, with properties calculated at the PBEsol level.

Properties
For the raw formation energy, the calculation gives 0.56 eV/atom. The raw total energy comes out at -2.84 eV per atom. The volume comes out at 121.1 Å³ per cell.

abc: 4.947 4.947 4.947
angles: 90.00 90.00 90.00
Space group Pm-3m (No. 221)
Unique sites:
1 Tl 0.000 0.000 0.500 (multiplicity 3)
2 Hg 0.500 0.500 0.500 (multiplicity 1)
3 N 0.000 0.000 0.000 (multiplicity 1)

***

Below is a relaxed BaMgRh crystal, with properties calculated at the PBEsol level.

Properties
The raw total energy comes out at -3.57 eV per atom. Its formation energy is 435 meV per atom. The volume comes out at 325.4 Å³ per cell.

abc: 6.878 6.878 6.878
angles: 90.00 90.00 90.00
Space group F-43m (No. 216)
Unique sites:
1 Ba 0.000 0.000 0.000 (multiplicity 4)
2 Mg 0.250 0.250 0.750 (multiplicity 4)
3 Rh 0.000 0.000 0.500 (multiplicity 4)

***

Below is a relaxed Ba2MgCd crystal, with properties calculated at the PBEsol level.

Properties
The raw total energy comes out at -1.98 eV per atom. Its formation energy is -175 meV per atom. The volume comes out at 150.3 Å³ per cell.

abc: 5.957 5.957 4.236
angles: 90.00 90.00 90.00
Space group P4/mmm (No. 123)
Unique sites:
1 Ba 0.000 0.500 0.000 (multiplicity 2)
2 Mg 0.000 0.000 0.500 (multiplicity 1)
3 Cd 0.500 0.500 0.500 (multiplicity 1)

***

Below is a relaxed Tl2PbAu crystal, with properties calculated at the PBEsol level.

Properties
The raw total energy comes out at -3.25 eV per atom. Its formation energy is 49 meV per atom. The volume comes out at 100.4 Å³ per cell.

abc: 3.598 3.598 7.759
angles: 90.00 90.00 90.00
Space group P4/mmm (No. 123)
Unique sites:
1 Tl 0.000 0.000 0.214 (multiplicity 2)
2 Pb 0.500 0.500 0.500 (multiplicity 1)
3 Au 0.500 0.500 0.000 (multiplicity 1)

***

Below is a relaxed TlHgCl2 crystal, with properties calculated at the PBEsol level.

Properties
For the raw formation energy, the calculation gives -0.49 eV/atom. The raw total energy comes out at -2.30 eV per atom. The volume comes out at 315.7 Å³ per cell.

abc: 4.7129 4.7129 16.4130
angles: 90.00 90.00 120.00
Space group R-3m (No. 166, hexagonal axes)
Unique sites:
1 Tl 0.0000 0.0000 0.0000 (multiplicity 3)
2 Hg 0.0000 0.0000 0.5000 (multiplicity 3)
3 Cl 0.0000 0.0000 0.2404 (multiplicity 6)

***

Below is a relaxed LiSi2Au crystal, with properties calculated at the PBEsol level.

Properties
For the raw formation energy, the calculation gives 0.02 eV/atom. The raw total energy comes out at -4.33 eV per atom. The volume comes out at 119.0 Å³ per cell.

abc: 3.762 3.926 8.055
angles: 90.00 90.00 90.00
Space group Cmm2 (No. 35)
Unique sites:
1 Li 0.000 0.000 0.000 (multiplicity 2)
2 Si 0.000 0.000 0.510 (multiplicity 2)
3 Si 0.000 0.500 0.755 (multiplicity 2)
4 Au 0.000 0.500 0.242 (multiplicity 2)

***

Below is a relaxed LaAs2Ru crystal, with properties calculated at the PBEsol level.

Properties
The raw total energy comes out at -6.85 eV per atom. Its formation energy is -418 meV per atom. The volume comes out at 368.7 Å³ per cell.

abc: 4.780 4.780 16.138
angles: 90.00 90.00 90.00
Space group I-42d (No. 122)
Unique sites:
1 La 0.000 0.000 0.000 (multiplicity 4)
2 As 0.099 0.250 0.625 (multiplicity 8)
3 Ru 0.000 0.000 0.500 (multiplicity 4)

***

Below is a relaxed Li2SnAu crystal, with properties calculated at the PBEsol level.

Properties
The raw total energy comes out at -3.58 eV per atom. Its formation energy is -552 meV per atom. The volume comes out at 266.2 Å³ per cell.

abc: 6.433 6.433 6.433
angles: 90.00 90.00 90.00
Space group F-43m (No. 216)
Unique sites:
1 Li 0.000 0.000 0.000 (multiplicity 4)
2 Li 0.250 0.250 0.250 (multiplicity 4)
3 Sn 0.250 0.250 0.750 (multiplicity 4)
4 Au 0.000 0.000 0.500 (multiplicity 4)

***

Below is a relaxed Zr3Be crystal, with properties calculated at the PBEsol level.

Properties
The raw total energy comes out at -7.82 eV per atom. Its formation energy is 0 meV per atom. The volume comes out at 75.4 Å³ per cell.

abc: 3.158 3.158 7.558
angles: 90.00 90.00 90.00
Space group P4/mmm (No. 123)
Unique sites:
1 Zr 0.000 0.000 0.000 (multiplicity 1)
2 Zr 0.500 0.500 0.291 (multiplicity 2)
3 Be 0.000 0.000 0.500 (multiplicity 1)

***

Below is a relaxed ZrTaIr crystal, with properties calculated at the PBEsol level.

Properties
The raw total energy comes out at -10.93 eV per atom. Its formation energy is -440 meV per atom. The volume comes out at 107.3 Å³ per cell.

abc: 3.083 3.083 11.290
angles: 90.00 90.00 90.00
Space group I4mm (No. 107)
Unique sites:
1 Zr 0.000 0.000 0.000 (multiplicity 2)
2 Ta 0.000 0.000 0.689 (multiplicity 2)
3 Ir 0.000 0.000 0.325 (multiplicity 2)

***

Below is a relaxed CaSiMoP2 crystal, with properties calculated at the PBEsol level.

Properties
For the raw formation energy, the calculation gives 1.81 eV/atom. The raw total energy comes out at -4.43 eV per atom. The volume comes out at 118.3 Å³ per cell.

abc: 4.900 4.900 4.929
angles: 90.00 90.00 90.00
Space group P4/mmm (No. 123)
Unique sites:
1 Ca 0.000 0.000 0.000 (multiplicity 1)
2 Si 0.000 0.000 0.500 (multiplicity 1)
3 Mo 0.500 0.500 0.500 (multiplicity 1)
4 P 0.000 0.500 0.000 (multiplicity 2)

***

Below is a relaxed Sb2TeRu crystal, with properties calculated at the PBEsol level.

Properties
For the raw formation energy, the calculation gives 0.10 eV/atom. The raw total energy comes out at -5.60 eV per atom. The volume comes out at 184.7 Å³ per cell.

abc: 7.212 3.224 8.011
angles: 90.00 97.42 90.00
Space group Cm (No. 8)
Unique sites:
1 Sb 0.000 0.000 0.000 (multiplicity 2)
2 Sb 0.232 0.000 0.713 (multiplicity 2)
3 Te 0.453 0.000 0.390 (multiplicity 2)
4 Ru 0.229 0.500 0.203 (multiplicity 2)

***

Below is a relaxed SrLiLa crystal, with properties calculated at the PBEsol level.

Properties
The raw total energy comes out at -2.82 eV per atom. Its formation energy is 234 meV per atom. The volume comes out at 105.9 Å³ per cell.

abc: 5.7990 5.7990 3.6372
angles: 90.00 90.00 120.00
Space group P3m1 (No. 156)
Unique sites:
1 Sr 0.0000 0.0000 0.0000 (multiplicity 1)
2 Li 0.6667 0.3333 0.8255 (multiplicity 1)
3 La 0.3333 0.6667 0.4300 (multiplicity 1)

***

Below is a relaxed NbCuPd2C crystal, with properties calculated at the PBEsol level.

Properties
The raw total energy comes out at -4.73 eV per atom. Its formation energy is 2616 meV per atom. The volume comes out at 104.2 Å³ per cell.

abc: 4.733 4.733 4.651
angles: 90.00 90.00 90.00
Space group P4/mmm (No. 123)
Unique sites:
1 Nb 0.000 0.000 0.000 (multiplicity 1)
2 Cu 0.000 0.000 0.500 (multiplicity 1)
3 Pd 0.000 0.500 0.000 (multiplicity 2)
4 C 0.500 0.500 0.500 (multiplicity 1)

***

Below is a relaxed MgZr2In crystal, with properties calculated at the PBEsol level.

Properties
The raw total energy comes out at -5.59 eV per atom. Its formation energy is 126 meV per atom. The volume comes out at 352.3 Å³ per cell.

abc: 7.062 7.062 7.062
angles: 90.00 90.00 90.00
Space group F-43m (No. 216)
Unique sites:
1 Mg 0.000 0.000 0.000 (multiplicity 4)
2 Zr 0.000 0.000 0.500 (multiplicity 4)
3 Zr 0.250 0.250 0.250 (multiplicity 4)
4 In 0.250 0.250 0.750 (multiplicity 4)

***

Below is a relaxed CdMoSe crystal, with properties calculated at the PBEsol level.

Properties
For the raw formation energy, the calculation gives 0.63 eV/atom. The raw total energy comes out at -4.98 eV per atom. The volume comes out at 237.6 Å³ per cell.

abc: 6.194 6.194 6.194
angles: 90.00 90.00 90.00
Space group F-43m (No. 216)
Unique sites:
1 Cd 0.000 0.000 0.000 (multiplicity 4)
2 Mo 0.250 0.250 0.250 (multiplicity 4)
3 Se 0.000 0.000 0.500 (multiplicity 4)

***

Below is a relaxed CrIrBr2 crystal, with properties calculated at the PBEsol level.

Properties
For the raw formation energy, the calculation gives 0.60 eV/atom. The raw total energy comes out at -5.36 eV per atom. The volume comes out at 213.5 Å³ per cell.

abc: 3.1758 3.1758 24.4443
angles: 90.00 90.00 120.00
Space group R-3m (No. 166, hexagonal axes)
Unique sites:
1 Cr 0.0000 0.0000 0.0000 (multiplicity 3)
2 Ir 0.0000 0.0000 0.5000 (multiplicity 3)
3 Br 0.0000 0.0000 0.4012 (multiplicity 6)

***

Below is a relaxed LiLaP2Cl crystal, with properties calculated at the PBEsol level.

Properties
For the raw formation energy, the calculation gives -0.73 eV/atom. The raw total energy comes out at -4.92 eV per atom. The volume comes out at 93.6 Å³ per cell.

abc: 4.321 4.321 5.015
angles: 90.00 90.00 90.00
Space group P4/mmm (No. 123)
Unique sites:
1 Li 0.000 0.000 0.000 (multiplicity 1)
2 La 0.500 0.500 0.500 (multiplicity 1)
3 P 0.000 0.500 0.000 (multiplicity 2)
4 Cl 0.000 0.000 0.500 (multiplicity 1)

***

Below is a relaxed Mg2Tc3 crystal, with properties calculated at the PBEsol level.

Properties
The raw total energy comes out at -7.26 eV per atom. Its formation energy is 185 meV per atom. The volume comes out at 78.5 Å³ per cell.

abc: 2.8039 2.8039 11.5343
angles: 90.00 90.00 120.00
Space group P-3m1 (No. 164)
Unique sites:
1 Mg 0.3333 0.6667 0.3823 (multiplicity 2)
2 Tc 0.0000 0.0000 0.0000 (multiplicity 1)
3 Tc 0.3333 0.6667 0.8189 (multiplicity 2)

***

Below is a relaxed MnNbBr2N crystal, with properties calculated at the PBEsol level.

Properties
For the raw formation energy, the calculation gives 1.38 eV/atom. The raw total energy comes out at -5.19 eV per atom. The volume comes out at 127.5 Å³ per cell.

abc: 5.091 5.091 4.919
angles: 90.00 90.00 90.00
Space group P4/mmm (No. 123)
Unique sites:
1 Mn 0.000 0.000 0.000 (multiplicity 1)
2 Nb 0.000 0.000 0.500 (multiplicity 1)
3 Br 0.000 0.500 0.500 (multiplicity 2)
4 N 0.500 0.500 0.000 (multiplicity 1)

***

Below is a relaxed TeOs2Se crystal, with properties calculated at the PBEsol level.

Properties
For the raw formation energy, the calculation gives 0.68 eV/atom. The raw total energy comes out at -7.27 eV per atom. The volume comes out at 133.1 Å³ per cell.

abc: 8.229 3.074 5.386
angles: 90.00 102.33 90.00
Space group C2/m (No. 12)
Unique sites:
1 Te 0.000 0.000 0.000 (multiplicity 2)
2 Os 0.248 0.000 0.719 (multiplicity 4)
3 Se 0.000 0.500 0.500 (multiplicity 2)

***

Below is a relaxed CsRbRh2Au crystal, with properties calculated at the PBEsol level.

Properties
The raw total energy comes out at -3.51 eV per atom. Its formation energy is 926 meV per atom. The volume comes out at 148.0 Å³ per cell.

abc: 5.016 5.016 5.882
angles: 90.00 90.00 90.00
Space group P4/mmm (No. 123)
Unique sites:
1 Cs 0.000 0.000 0.000 (multiplicity 1)
2 Rb 0.500 0.500 0.000 (multiplicity 1)
3 Rh 0.000 0.500 0.500 (multiplicity 2)
4 Au 0.500 0.500 0.500 (multiplicity 1)

***

Below is a relaxed SrTe3Mo crystal, with properties calculated at the PBEsol level.

Properties
For the raw formation energy, the calculation gives -0.24 eV/atom. The raw total energy comes out at -5.07 eV per atom. The volume comes out at 152.9 Å³ per cell.

abc: 5.347 5.347 5.347
angles: 90.00 90.00 90.00
Space group Pm-3m (No. 221)
Unique sites:
1 Sr 0.000 0.000 0.000 (multiplicity 1)
2 Te 0.000 0.500 0.500 (multiplicity 3)
3 Mo 0.500 0.500 0.500 (multiplicity 1)

***

Below is a relaxed SrNiN crystal, with properties calculated at the PBEsol level.

Properties
For the raw formation energy, the calculation gives -0.64 eV/atom. The raw total energy comes out at -6.15 eV per atom. The volume comes out at 605.4 Å³ per cell.

abc: 8.997 13.082 5.144
angles: 90.00 90.00 90.00
Space group Pnma (No. 62)
Unique sites:
1 Sr 0.008 0.250 0.005 (multiplicity 4)
2 Sr 0.168 0.588 0.522 (multiplicity 8)
3 Ni 0.000 0.000 0.000 (multiplicity 4)
4 Ni 0.160 0.161 0.534 (multiplicity 8)
5 N 0.080 0.077 0.763 (multiplicity 8)
6 N 0.242 0.250 0.304 (multiplicity 4)

***

Below is a relaxed SrMoW2 crystal, with properties calculated at the PBEsol level.

Properties
The raw total energy comes out at -9.47 eV per atom. Its formation energy is 832 meV per atom. The volume comes out at 85.1 Å³ per cell.

abc: 3.333 3.423 7.459
angles: 90.00 90.00 90.00
Space group Pmm2 (No. 25)
Unique sites:
1 Sr 0.000 0.000 0.000 (multiplicity 1)
2 Mo 0.500 0.500 0.663 (multiplicity 1)
3 W 0.000 0.000 0.500 (multiplicity 1)
4 W 0.500 0.500 0.336 (multiplicity 1)

***

Below is a relaxed TiCuTe3 crystal, with properties calculated at the PBEsol level.

Properties
For the raw formation energy, the calculation gives 0.37 eV/atom. The raw total energy comes out at -4.28 eV per atom. The volume comes out at 142.3 Å³ per cell.

abc: 5.221 5.221 5.221
angles: 90.00 90.00 90.00
Space group Pm-3m (No. 221)
Unique sites:
1 Ti 0.000 0.000 0.000 (multiplicity 1)
2 Cu 0.500 0.500 0.500 (multiplicity 1)
3 Te 0.000 0.000 0.500 (multiplicity 3)

***

Below is a relaxed ZnSi2Mo crystal, with properties calculated at the PBEsol level.

Properties
For the raw formation energy, the calculation gives -0.17 eV/atom. The raw total energy comes out at -6.38 eV per atom. The volume comes out at 55.3 Å³ per cell.

abc: 3.325 3.325 5.003
angles: 90.00 90.00 90.00
Space group P4mm (No. 99)
Unique sites:
1 Zn 0.000 0.000 0.000 (multiplicity 1)
2 Si 0.000 0.000 0.502 (multiplicity 1)
3 Si 0.500 0.500 0.779 (multiplicity 1)
4 Mo 0.500 0.500 0.289 (multiplicity 1)